First-principles (PBE) data for crystalline KLiTe2 at its relaxed geometry, as listed in the Alexandria database.

* space-group type: No. 6
* uncorrected formation energy: -641 meV/atom
* total DFT energy (no corrections): -2.9651 eV per atom
* relative energy among the computed polymorphs: 0.609 eV/f.u.
* DOS(E_F): 2.27 states/eV/cell

The structure in extended XYZ format:
```
4
Lattice="-2.0578 -3.0631 3.2876 1.8633 -2.3401 -1.0140 5.1895 3.4514 6.4638" Properties=species:S:1:pos:R:3 pbc="T T T"
Li 4.5399 -0.7756 5.8337
Te 6.5140 1.0932 5.0957
K 2.5684 -0.3725 1.2605
Te 1.9521 -0.2300 4.7224
```